Record 1
Sm5Al4In | PBE-GGA | relaxed

Unit cell a=3.697 b=3.697 c=18.693 alpha=90.00 beta=90.00 gamma=90.00
Fractional positions:
Sm  0.000  0.000  0.000
Sm  0.000  0.000  0.195
Sm  0.000  0.000  0.392
Sm  0.000  0.000  0.608
Sm  0.000  0.000  0.805
Al  0.500  0.500  0.098
Al  0.500  0.500  0.293
Al  0.500  0.500  0.707
Al  0.500  0.500  0.902
In  0.500  0.500  0.500

Summary:
Space group = P4/mmm, No. 123
Magnetization = 0.000 μB per atom
Calculated formation energy = -395 meV/atom
Energy = -45.25 eV/cell

=====

Record 2
MnBrCl | PBE-GGA | relaxed

Unit cell a=7.410 b=7.410 c=7.410 alpha=153.95 beta=153.95 gamma=37.17
Fractional positions:
Mn  0.000  0.000  0.000
Br  0.381  0.381  0.000
Cl  0.606  0.606  0.000

Summary:
Space group = I4mm, No. 107
Magnetization = 1.667 μB per atom
Energy = -14.32 eV/cell
Energy above the most stable polymorph in this dataset = 0.391 eV/atom
Formation energy (no corrections) = -52 kJ per mole of atoms

=====

Record 3
NaTeAs3 | PBE-GGA | relaxed

Unit cell a=5.052 b=5.052 c=5.052 alpha=90.00 beta=90.00 gamma=90.00
Fractional positions:
Na  0.000  0.000  0.000
Te  0.500  0.500  0.500
As  0.000  0.000  0.500
As  0.000  0.500  0.000
As  0.500  0.000  0.000

Summary:
Space group = Pm-3m, No. 221
Magnetization = 0.000 μB per atom
Energy = -13.17 eV/cell
Energy above the most stable polymorph in this dataset = 0.407 eV/atom
Formation energy (no corrections) = 101 kJ per mole of atoms

=====

Record 4
Mg5In5Rh | PBE-GGA | relaxed

Unit cell a=7.161 b=7.161 c=9.835 alpha=110.03 beta=110.03 gamma=41.04
Fractional positions:
Mg  0.000  0.000  0.000
Mg  0.235  0.235  0.622
Mg  0.253  0.253  0.120
Mg  0.747  0.747  0.880
Mg  0.765  0.765  0.378
In  0.112  0.112  0.801
In  0.120  0.120  0.316
In  0.500  0.500  0.500
In  0.880  0.880  0.684
In  0.888  0.888  0.199
Rh  0.000  0.000  0.500

Summary:
Space group = C2/m, No. 12
Magnetization = 0.000 μB per atom
Calculated formation energy = 25 meV/atom
Energy = -28.74 eV/cell

=====

Record 5
NbAl3Fe | PBE-GGA | relaxed

Unit cell a=4.390 b=4.390 c=4.390 alpha=90.00 beta=90.00 gamma=90.00
Fractional positions:
Nb  0.000  0.000  0.000
Al  0.000  0.500  0.500
Al  0.500  0.000  0.500
Al  0.500  0.500  0.000
Fe  0.500  0.500  0.500

Summary:
Space group = Pm-3m, No. 221
Magnetization = 0.411 μB per atom
Calculated formation energy = 318 meV/atom
Energy = -28.17 eV/cell
Energy above the most stable polymorph in this dataset = 0.000 eV/atom

=====

Record 6
Rb3Sn4 | PBE-GGA | relaxed

Unit cell a=11.659 b=11.659 c=11.659 alpha=156.83 beta=150.56 gamma=37.79
Fractional positions:
Rb  0.000  0.000  0.000
Rb  0.184  0.684  0.500
Rb  0.816  0.316  0.500
Sn  0.361  0.861  0.500
Sn  0.436  0.436  0.000
Sn  0.564  0.564  0.000
Sn  0.639  0.139  0.500

Summary:
Space group = Immm, No. 71
Magnetization = 0.000 μB per atom
Calculated formation energy = -203 meV/atom
Energy = -20.33 eV/cell

=====

Record 7
Pm3BiCCl | PBE-GGA | relaxed

Unit cell a=8.711 b=3.898 c=10.065 alpha=90.00 beta=100.44 gamma=90.00
Fractional positions:
Pm  0.075  0.250  0.383
Pm  0.136  0.250  0.884
Pm  0.343  0.750  0.644
Pm  0.657  0.250  0.356
Pm  0.864  0.750  0.116
Pm  0.925  0.750  0.617
Bi  0.335  0.750  0.292
Bi  0.665  0.250  0.708
C  0.141  0.250  0.643
C  0.859  0.750  0.357
Cl  0.364  0.750  0.923
Cl  0.636  0.250  0.077

Summary:
Space group = P2_1/m, No. 11
Magnetization = 0.154 μB per atom
Energy = -67.25 eV/cell
Formation energy (no corrections) = -71 kJ per mole of atoms

=====

Record 8
TbPrNd6 | PBE-GGA | relaxed

Unit cell a=8.988 b=8.214 c=6.356 alpha=74.96 beta=61.96 gamma=43.08
Fractional positions:
Tb  0.000  0.000  0.000
Pr  0.500  0.500  0.500
Nd  0.124  0.124  0.376
Nd  0.249  0.249  0.751
Nd  0.376  0.376  0.124
Nd  0.624  0.624  0.876
Nd  0.751  0.751  0.249
Nd  0.876  0.876  0.624

Summary:
Space group = Fmmm, No. 69
Magnetization = 0.000 μB per atom
Calculated formation energy = 15 meV/atom
Energy = -37.90 eV/cell

=====

Record 9
NaEu3Ni | PBE-GGA | relaxed

Unit cell a=5.684 b=5.684 c=5.684 alpha=90.00 beta=90.00 gamma=90.00
Fractional positions:
Na  0.000  0.000  0.000
Eu  0.000  0.500  0.500
Eu  0.500  0.000  0.500
Eu  0.500  0.500  0.000
Ni  0.500  0.500  0.500

Summary:
Space group = Pm-3m, No. 221
Magnetization = 4.300 μB per atom
Calculated formation energy = -22 meV/atom
Energy = -38.03 eV/cell

=====

Record 10
ScHBr | PBE-GGA | relaxed

Unit cell a=3.482 b=5.881 c=6.481 alpha=67.05 beta=85.81 gamma=89.97
Fractional positions:
Sc  0.245  0.204  0.035
Sc  0.755  0.796  0.965
H  0.234  0.842  0.113
H  0.766  0.158  0.887
Br  0.290  0.669  0.702
Br  0.710  0.331  0.298

Summary:
Space group = P-1, No. 2
Magnetization = 0.102 μB per atom
Energy = -28.29 eV/cell

=====

Record 11
Pd3WSe6 | PBE-GGA | relaxed

Unit cell a=7.616 b=7.616 c=7.616 alpha=90.53 beta=90.53 gamma=90.53
Fractional positions:
Pd  0.053  0.584  0.746
Pd  0.254  0.947  0.416
Pd  0.416  0.254  0.947
Pd  0.584  0.746  0.053
Pd  0.746  0.053  0.584
Pd  0.947  0.416  0.254
W  0.000  0.000  0.000
W  0.500  0.500  0.500
Se  0.036  0.907  0.681
Se  0.093  0.319  0.964
Se  0.186  0.585  0.428
Se  0.319  0.964  0.093
Se  0.415  0.572  0.814
Se  0.428  0.186  0.585
Se  0.572  0.814  0.415
Se  0.585  0.428  0.186
Se  0.681  0.036  0.907
Se  0.814  0.415  0.572
Se  0.907  0.681  0.036
Se  0.964  0.093  0.319

Summary:
Space group = R-3, No. 148
Magnetization = 0.000 μB per atom
Energy = -101.74 eV/cell
Formation energy (no corrections) = -14 kJ per mole of atoms

=====

Record 12
Hf2CdAgRu | PBE-GGA | relaxed

Unit cell a=4.859 b=4.859 c=5.195 alpha=90.00 beta=90.00 gamma=90.00
Fractional positions:
Hf  0.000  0.500  0.000
Hf  0.500  0.000  0.000
Cd  0.000  0.000  0.500
Ag  0.500  0.500  0.500
Ru  0.500  0.500  0.000

Summary:
Space group = P4/mmm, No. 123
Magnetization = 0.000 μB per atom
Calculated formation energy = 439 meV/atom
Energy = -30.75 eV/cell